# 1
Computed, not measured: a PBEsol-optimized structure of Cd3C at the SCAN level of DFT.

Formation energy from the elements   1.25 eV per atom
DOS(E_F)   0.038 states/eV per atom
Relative energy among the computed polymorphs   1.16 eV per formula unit
Total moment   0.0 μB/f.u.
SG   Fm-3m, No. 225
Crystal system   cubic

a = 4.606 Å, b = 4.606 Å, c = 4.606 Å
α = 60.00°, β = 60.00°, γ = 60.00°
Element x y z (fractional)
Cd  0.000  0.000  0.000
Cd  0.250  0.250  0.250
Cd  0.750  0.750  0.750
C  0.500  0.500  0.500

# 2
Computed, not measured: a PBEsol-optimized structure of CdC2 at the SCAN level of DFT.

Formation energy from the elements   1.68 eV per atom
DOS(E_F)   0.512 states/eV per atom
Relative energy among the computed polymorphs   2.55 eV per formula unit
Total moment   0.2 μB/f.u.
SG   I4/mcm, No. 140
Crystal system   tetragonal

a = 4.692 Å, b = 4.692 Å, c = 4.692 Å
α = 114.59°, β = 114.59°, γ = 99.66°
Element x y z (fractional)
Cd  0.250  0.250  0.000
Cd  0.750  0.750  0.000
C  0.089  0.589  0.678
C  0.411  0.089  0.500
C  0.589  0.911  0.500
C  0.911  0.411  0.322

# 3
Computed, not measured: a PBEsol-optimized structure of CdC3 at the SCAN level of DFT.

Formation energy from the elements   2.03 eV per atom
DOS(E_F)   0.025 states/eV per atom
Total moment   0.0 μB/f.u.
SG   P6_3/mmc, No. 194
Crystal system   hexagonal

a = 4.745 Å, b = 4.745 Å, c = 6.291 Å
α = 90.00°, β = 90.00°, γ = 120.00°
Element x y z (fractional)
Cd  0.333  0.667  0.250
Cd  0.667  0.333  0.750
C  0.102  0.204  0.750
C  0.102  0.898  0.750
C  0.204  0.102  0.250
C  0.796  0.898  0.750
C  0.898  0.102  0.250
C  0.898  0.796  0.250

# 4
Computed, not measured: a PBEsol-optimized structure of Cd3C at the SCAN level of DFT.

Formation energy from the elements   0.96 eV per atom
DOS(E_F)   0.436 states/eV per atom
Relative energy among the computed polymorphs   0.00 eV per formula unit
Total moment   0.0 μB/f.u.
SG   R-3m, No. 166
Crystal system   trigonal

a = 7.488 Å, b = 7.488 Å, c = 7.488 Å
α = 26.38°, β = 26.38°, γ = 26.38°
Element x y z (fractional)
Cd  0.000  0.000  0.000
Cd  0.226  0.226  0.226
Cd  0.774  0.774  0.774
C  0.500  0.500  0.500

# 5
Computed, not measured: a PBEsol-optimized structure of CdC2 at the SCAN level of DFT.

Formation energy from the elements   0.91 eV per atom
DOS(E_F)   0.288 states/eV per atom
Relative energy among the computed polymorphs   0.25 eV per formula unit
Total moment   0.0 μB/f.u.
SG   P-62m, No. 189
Crystal system   hexagonal

a = 9.076 Å, b = 9.076 Å, c = 2.616 Å
α = 90.00°, β = 90.00°, γ = 120.00°
Element x y z (fractional)
Cd  0.000  0.000  0.000
Cd  0.333  0.667  0.500
Cd  0.667  0.333  0.500
C  0.000  0.330  0.000
C  0.000  0.335  0.500
C  0.330  0.000  0.000
C  0.335  0.000  0.500
C  0.665  0.665  0.500
C  0.670  0.670  0.000

# 6
Computed, not measured: a PBEsol-optimized structure of Cd3C at the SCAN level of DFT.

Formation energy from the elements   1.03 eV per atom
DOS(E_F)   0.448 states/eV per atom
Relative energy among the computed polymorphs   0.31 eV per formula unit
Total moment   0.4 μB/f.u.
SG   P-6m2, No. 187
Crystal system   hexagonal

a = 3.259 Å, b = 3.259 Å, c = 7.733 Å
α = 90.00°, β = 90.00°, γ = 120.00°
Element x y z (fractional)
Cd  0.000  0.000  0.000
Cd  0.333  0.667  0.311
Cd  0.333  0.667  0.689
C  0.000  0.000  0.500

# 7
Computed, not measured: a PBEsol-optimized structure of CdC2 at the SCAN level of DFT.

Formation energy from the elements   0.83 eV per atom
DOS(E_F)   0.194 states/eV per atom
Relative energy among the computed polymorphs   0.00 eV per formula unit
Total moment   0.0 μB/f.u.
SG   Fmmm, No. 69
Crystal system   orthorhombic

a = 6.989 Å, b = 6.402 Å, c = 3.352 Å
α = 85.49°, β = 65.95°, γ = 28.56°
Element x y z (fractional)
Cd  0.000  0.000  0.000
C  0.250  0.250  0.750
C  0.750  0.750  0.250

# 8
Computed, not measured: a PBEsol-optimized structure of CdC2 at the SCAN level of DFT.

Formation energy from the elements   1.10 eV per atom
Relative energy among the computed polymorphs   0.81 eV per formula unit
Total moment   0.0 μB/f.u.
SG   Immm, No. 71
Crystal system   orthorhombic

a = 3.843 Å, b = 3.843 Å, c = 3.843 Å
α = 127.08°, β = 106.15°, γ = 96.83°
Element x y z (fractional)
Cd  0.000  0.000  0.000
C  0.363  0.500  0.863
C  0.637  0.500  0.137

Number 1: ρ 8.4 g cm⁻³. Number 2: ρ 5.8 g cm⁻³. Number 3: ρ 4.0 g cm⁻³. Number 4: ρ 7.9 g cm⁻³. Number 5: ρ 3.6 g cm⁻³. Number 6: ρ 8.2 g cm⁻³. Number 7: ρ 4.5 g cm⁻³. Number 8: ρ 5.6 g cm⁻³.